Entry 1:
Below is a relaxed Ba2TlCd3Pd4 crystal, with properties calculated at the PBE level.

Values from the calculation:
ΔE_f = -421.4 kJ/mol of formula units
volume = 256 Å³ per cell
magnetization = 0.00 μB per formula unit
space group = No. 115

abc: 4.8593 4.8593 10.8570
angles: 90.00 90.00 90.00
Positions (direct):
Ba 0.5000 0.0000 0.2333
Ba 0.0000 0.5000 0.7667
Tl 0.5000 0.5000 0.5000
Cd 0.0000 0.0000 0.5000
Cd 0.5000 0.0000 0.8804
Cd 0.0000 0.5000 0.1196
Pd 0.5000 0.5000 0.0000
Pd 0.0000 0.0000 0.0000
Pd 0.5000 0.0000 0.6284
Pd 0.0000 0.5000 0.3716

---

Entry 2:
Below is a relaxed CuTc2Ni crystal, with properties calculated at the PBE level.

Values from the calculation:
ΔE_f = 141.2 kJ/mol of formula units
volume = 52 Å³ per cell
magnetization = 0.00 μB per formula unit
energy relative to the lowest polymorph listed for this composition = 0.2661 eV per atom
space group = No. 225

abc: 4.1913 4.1913 4.1913
angles: 60.00 60.00 60.00
Positions (direct):
Ni 0.0000 0.0000 0.0000
Tc 0.2500 0.2500 0.2500
Tc 0.7500 0.7500 0.7500
Cu 0.5000 0.5000 0.5000

---

Entry 3:
Below is a relaxed BeAlCd2 crystal, with properties calculated at the PBE level.

Values from the calculation:
ΔE_f = 126.1 kJ/mol of formula units
volume = 71 Å³ per cell
magnetization = 0.00 μB per formula unit
energy relative to the lowest polymorph listed for this composition = 0.1122 eV per atom
space group = No. 123

abc: 2.9727 2.9727 8.0046
angles: 90.00 90.00 90.00
Positions (direct):
Be 0.5000 0.5000 0.7500
Al 0.5000 0.5000 0.2500
Cd 0.0000 0.0000 0.9643
Cd 0.0000 0.0000 0.5357